Entry from the Alexandria database: crystalline ErAl4Pd2Au at its relaxed geometry (PBE).

a = 4.3022 Å, b = 4.3022 Å, c = 9.1707 Å
α = 76.43°, β = 76.43°, γ = 60.00°
Element x y z (fractional)
Al1 0.8747 0.8747 0.3758
Al2 0.1253 0.1253 0.6242
Al3 0.6007 0.6007 0.1980
Pd1 0.2483 0.2483 0.2550
Al4 0.3993 0.3993 0.8020
Er1 0.0000 0.0000 0.0000
Au1 0.5000 0.5000 0.5000
Pd2 0.7517 0.7517 0.7450

Properties
As for the total magnetization: 0.000 μB per atom. The formation energy from the elements is -0.6249 eV per atom. The symmetry is No. 166.